*A*
B5C7: optimized geometry, GGA-PBE.

Calculated values
Calculated density ... 2.96 g/cm³
Space group ... Pm (6)

The structure in POSCAR format:
```
B5C7
1.0
4.7046 0.0000 0.0000
0.0000 2.5455 0.0000
-0.9352 0.0000 6.4772
B C
5 7
Direct
0.0000 0.0000 0.0000 B
0.0216 0.0000 0.7232 B
0.2114 0.5000 0.5871 B
0.2969 0.0000 0.2561 B
0.3377 0.0000 0.9636 B
0.1297 0.5000 0.3559 C
0.5305 0.5000 0.9136 C
0.5449 0.5000 0.6810 C
0.6545 0.0000 0.3573 C
0.6813 0.0000 0.6025 C
0.8063 0.5000 0.0479 C
0.8059 0.5000 0.2829 C
```

=====

*B*
B5C7: optimized geometry, GGA-PBE.

Calculated values
Calculated density ... 2.88 g/cm³
Space group ... P1 (1)

The structure in POSCAR format:
```
B5C7
1.0
4.4618 0.0000 0.0000
0.9652 4.4783 0.0000
1.3441 1.9135 3.9836
B C
5 7
Direct
0.0000 0.0000 0.0000 B
0.0019 0.3629 0.2959 B
0.3651 0.7112 0.5761 B
0.3961 0.0854 0.7847 B
0.4961 0.6852 0.0862 B
0.3819 0.3484 0.1717 C
0.5229 0.0475 0.4275 C
0.5359 0.3719 0.7939 C
0.8631 0.7062 0.9918 C
0.8740 0.0109 0.3568 C
0.9000 0.3771 0.6645 C
0.9953 0.7016 0.6375 C
```

=====

The most stable of them is *A*.

=====

*A*
YCoTc2: optimized geometry, GGA-PBE.

Calculated values
Calculated density ... 8.57 g/cm³
Space group ... Imm2 (44)

The structure in POSCAR format:
```
YCoTc2
1.0
-1.5990 2.3608 4.4145
1.5990 -2.3608 4.4145
1.5990 2.3608 -4.4145
Y Co Tc
1 1 2
Direct
0.0000 0.0000 0.0000 Y
0.2728 0.7728 0.5000 Co
0.4984 0.4984 0.0000 Tc
0.7223 0.2223 0.5000 Tc
```

=====

*B*
YCoTc2: optimized geometry, GGA-PBE.

Calculated values
Calculated density ... 8.68 g/cm³
Space group ... I4/mmm (139)

The structure in POSCAR format:
```
YCoTc2
1.0
-1.8999 1.8999 4.5542
1.8999 -1.8999 4.5542
1.8999 1.8999 -4.5542
Y Co Tc
1 1 2
Direct
0.0000 0.0000 0.0000 Y
0.5000 0.5000 0.0000 Co
0.2500 0.7500 0.5000 Tc
0.7500 0.2500 0.5000 Tc
```

=====

The most stable of them is *A*.

=====

*A*
Re2AuBr: optimized geometry, GGA-PBE.

Calculated values
Calculated density ... 15.06 g/cm³
Space group ... Imm2 (44)

The structure in POSCAR format:
```
Re2AuBr
1.0
-1.4172 2.3862 5.2924
1.4172 -2.3862 5.2924
1.4172 2.3862 -5.2924
Re Au Br
2 1 1
Direct
0.0000 0.0000 0.0000 Re
0.8021 0.3021 0.5000 Re
0.5371 0.5371 0.0000 Au
0.2425 0.7425 0.5000 Br
```

=====

*B*
Re2AuBr: optimized geometry, GGA-PBE.

Calculated values
Calculated density ... 16.54 g/cm³
Space group ... Fm-3m (225)

The structure in POSCAR format:
```
Re2AuBr
1.0
0.0000 3.1944 3.1944
3.1944 0.0000 3.1944
3.1944 3.1944 0.0000
Re Au Br
2 1 1
Direct
0.2500 0.2500 0.2500 Re
0.7500 0.7500 0.7500 Re
0.0000 0.0000 0.0000 Au
0.5000 0.5000 0.5000 Br
```

=====

The most stable of them is *A*.

=====

*A*
SrY2Co: optimized geometry, GGA-PBE.

Calculated values
Calculated density ... 4.88 g/cm³
Space group ... I-4m2 (119)

The structure in POSCAR format:
```
SrY2Co
1.0
-2.2867 2.2867 5.2766
2.2867 -2.2867 5.2766
2.2867 2.2867 -5.2766
Sr Y Co
1 2 1
Direct
0.0000 0.0000 0.0000 Sr
0.2500 0.7500 0.5000 Y
0.5000 0.5000 0.0000 Y
0.7500 0.2500 0.5000 Co
```

=====

*B*
SrY2Co: optimized geometry, GGA-PBE.

Calculated values
Calculated density ... 4.33 g/cm³
Space group ... Cm (8)

The structure in POSCAR format:
```
SrY2Co
1.0
6.0252 -1.8622 0.0000
6.0252 1.8622 0.0000
-3.5108 0.0000 5.5381
Sr Y Co
1 2 1
Direct
0.0000 0.0000 0.0000 Sr
0.1777 0.1777 0.6663 Y
0.3601 0.3601 0.3680 Y
0.7342 0.7342 0.4552 Co
```

=====

The most stable of them is *B*.

=====

*A*
CrTcBr2: optimized geometry, GGA-PBE.

Calculated values
Calculated density ... 4.96 g/cm³
Space group ... C2/m (12)

The structure in POSCAR format:
```
CrTcBr2
1.0
7.6882 -1.7232 0.0000
7.6882 1.7232 0.0000
-0.3656 0.0000 3.9110
Cr Tc Br
1 1 2
Direct
0.0000 0.0000 0.0000 Cr
0.5000 0.5000 0.5000 Tc
0.3608 0.3608 0.7950 Br
0.6392 0.6392 0.2050 Br
```

=====

*B*
CrTcBr2: optimized geometry, GGA-PBE.

Calculated values
Calculated density ... 8.16 g/cm³
Space group ... Fm-3m (225)

The structure in POSCAR format:
```
CrTcBr2
1.0
0.0000 3.1594 3.1594
3.1594 0.0000 3.1594
3.1594 3.1594 0.0000
Cr Tc Br
1 1 2
Direct
0.0000 0.0000 0.0000 Cr
0.5000 0.5000 0.5000 Tc
0.2500 0.2500 0.2500 Br
0.7500 0.7500 0.7500 Br
```

=====

The most stable of them is *A*.

=====

*A*
PaTlHg: optimized geometry, GGA-PBE.

Calculated values
Calculated density ... 13.19 g/cm³
Space group ... I4/mmm (139)

The structure in POSCAR format:
```
PaTlHg
1.0
-1.5393 1.5393 16.8950
1.5393 -1.5393 16.8950
1.5393 1.5393 -16.8950
Pa Tl Hg
2 2 2
Direct
0.0399 0.0399 0.0000 Pa
0.9601 0.9601 0.0000 Pa
0.3799 0.3799 0.0000 Tl
0.6201 0.6201 0.0000 Tl
0.2070 0.2070 0.0000 Hg
0.7930 0.7930 0.0000 Hg
```

=====

*B*
PaTlHg: optimized geometry, GGA-PBE.

Calculated values
Calculated density ... 13.89 g/cm³
Space group ... I4mm (107)

The structure in POSCAR format:
```
PaTlHg
1.0
-1.6038 1.6038 7.3896
1.6038 -1.6038 7.3896
1.6038 1.6038 -7.3896
Pa Tl Hg
1 1 1
Direct
0.0000 0.0000 0.0000 Pa
0.3285 0.3285 0.0000 Tl
0.6613 0.6613 0.0000 Hg
```

=====

The most stable of them is *B*.

=====

*A*
Co2HgBr: optimized geometry, GGA-PBE.

Calculated values
Calculated density ... 10.03 g/cm³
Space group ... Fm-3m (225)

The structure in POSCAR format:
```
Co2HgBr
1.0
0.0000 3.2064 3.2064
3.2064 0.0000 3.2064
3.2064 3.2064 0.0000
Co Hg Br
2 1 1
Direct
0.2500 0.2500 0.2500 Co
0.7500 0.7500 0.7500 Co
0.0000 0.0000 0.0000 Hg
0.5000 0.5000 0.5000 Br
```

=====

*B*
Co2HgBr: optimized geometry, GGA-PBE.

Calculated values
Calculated density ... 9.47 g/cm³
Space group ... F-43m (216)

The structure in POSCAR format:
```
Co2HgBr
1.0
0.0000 3.2687 3.2687
3.2687 0.0000 3.2687
3.2687 3.2687 0.0000
Co Hg Br
2 1 1
Direct
0.0000 0.0000 0.0000 Co
0.2500 0.2500 0.2500 Co
0.7500 0.7500 0.7500 Hg
0.5000 0.5000 0.5000 Br
```

=====

The most stable of them is *A*.

=====

*A*
B2C: optimized geometry, GGA-PBE.

Calculated values
Calculated density ... 2.11 g/cm³
Space group ... Cm (8)

The structure in POSCAR format:
```
B2C
1.0
8.7156 -1.3188 0.0000
8.7156 1.3188 0.0000
-1.3059 0.0000 4.6025
B C
8 4
Direct
0.0000 0.0000 0.0000 B
0.0579 0.0579 0.7134 B
0.1628 0.1628 0.8133 B
0.3977 0.3977 0.7179 B
0.4997 0.4997 0.4918 B
0.5527 0.5527 0.2169 B
0.6614 0.6614 0.0240 B
0.8972 0.8972 0.2179 B
0.1607 0.1607 0.4974 C
0.4045 0.4045 0.3993 C
0.6506 0.6506 0.3346 C
0.9049 0.9049 0.9001 C
```

=====

*B*
B2C: optimized geometry, GGA-PBE.

Calculated values
Calculated density ... 2.66 g/cm³
Space group ... Pm (6)

The structure in POSCAR format:
```
B2C
1.0
5.1375 0.0000 0.0000
0.0000 2.5840 0.0000
-2.1376 0.0000 6.3180
B C
8 4
Direct
0.0000 0.0000 0.0000 B
0.0051 0.5000 0.6641 B
0.2021 0.0000 0.5838 B
0.2319 0.0000 0.3162 B
0.4173 0.5000 0.0094 B
0.4680 0.5000 0.3078 B
0.5547 0.0000 0.8850 B
0.7507 0.5000 0.2208 B
0.0891 0.5000 0.9156 C
0.5558 0.0000 0.6457 C
0.6672 0.5000 0.5673 C
0.9111 0.0000 0.2193 C
```

=====

The most stable of them is *A*.

=====

*A*
KLiSi: optimized geometry, GGA-PBE.

Calculated values
Calculated density ... 1.78 g/cm³
Space group ... P3m1 (156)

The structure in POSCAR format:
```
KLiSi
1.0
5.1799 0.0000 0.0000
-2.5900 4.4860 0.0000
0.0000 0.0000 2.9778
K Li Si
1 1 1
Direct
0.0000 0.0000 0.0000 K
0.6667 0.3333 0.1259 Li
0.3333 0.6667 0.5251 Si
```

=====

*B*
KLiSi: optimized geometry, GGA-PBE.

Calculated values
Calculated density ... 1.36 g/cm³
Space group ... Pm (6)

The structure in POSCAR format:
```
KLiSi
1.0
3.7648 0.0000 0.0000
0.0000 4.1913 0.0000
-1.8482 0.0000 11.4507
K Li Si
2 2 2
Direct
0.0000 0.0000 0.0000 K
0.3164 0.5000 0.6521 K
0.1172 0.5000 0.2407 Li
0.6961 0.5000 0.4020 Li
0.1905 0.0000 0.3903 Si
0.6252 0.0000 0.2570 Si
```

=====

The most stable of them is *B*.